SiSbTe2Au: optimized geometry, PBE.

Output
For the formation energy from raw total energies, the calculation gives 0.685 eV/atom. The space group is P4/mmm (123). Its density of states at the Fermi level is 0.906 states/eV per atom. As for the crystal system: tetragonal. Its mass density is 7040 kg/m³.

POSCAR file:
```
SiSbTe2Au
1.0
-1.403 -4.343 2.489
3.505 0.993 3.709
-3.612 2.708 2.689
Au Si Sb Te
1 1 1 2
Direct
0.500 0.500 0.500 Au
0.000 0.000 0.000 Si
0.000 0.000 0.500 Sb
0.500 0.000 0.000 Te
0.000 0.500 0.000 Te
```



AlCdSbTe2: optimized geometry, PBE.

Output
For the formation energy from raw total energies, the calculation gives 0.650 eV/atom. The space group is P4/mmm (123). Its density of states at the Fermi level is 0.760 states/eV per atom. As for the crystal system: tetragonal. Its mass density is 4834 kg/m³.

POSCAR file:
```
AlCdSbTe2
1.0
5.717 0.000 0.000
0.000 5.717 0.000
0.000 0.000 5.428
Sb Te Cd Al
1 2 1 1
Direct
0.000 0.000 0.500 Sb
0.000 0.500 0.000 Te
0.500 0.000 0.000 Te
0.000 0.000 0.000 Cd
0.500 0.500 0.500 Al
```



Mg3ZrSc4: optimized geometry, PBE.

Output
Its energy of formation from the pure elements is -0.04 eV per atom. The space group is P4/mmm (123). Its density of states at the Fermi level is 1.206 states/eV per atom. As for the crystal system: tetragonal. Its mass density is 3037 kg/m³.

POSCAR file:
```
Mg3ZrSc4
1.0
-2.271 1.410 1.872
0.477 -2.274 2.292
12.417 10.109 7.448
Sc Mg Zr
4 3 1
Direct
0.000 0.000 0.877 Sc
0.000 0.000 0.123 Sc
0.000 0.000 0.624 Sc
0.000 0.000 0.376 Sc
0.500 0.500 0.500 Mg
0.500 0.500 0.748 Mg
0.500 0.500 0.252 Mg
0.500 0.500 0.000 Zr
```



TeSe2SBr: optimized geometry, PBE.

Output
For the formation energy from raw total energies, the calculation gives 0.531 eV/atom. The space group is P4/mmm (123). Its density of states at the Fermi level is 0.906 states/eV per atom. As for the crystal system: tetragonal. Its mass density is 5320 kg/m³.

POSCAR file:
```
TeSe2SBr
1.0
4.975 0.000 0.000
0.000 4.975 0.000
0.000 0.000 5.013
S Br Te Se
1 1 1 2
Direct
0.000 0.000 0.000 S
0.000 0.000 0.500 Br
0.500 0.500 0.500 Te
0.000 0.500 0.000 Se
0.500 0.000 0.000 Se
```



Pm8IrPt3I4: optimized geometry, PBE.

Output
For the formation energy from raw total energies, the calculation gives -1.096 eV/atom. The space group is R-3m (166). Its density of states at the Fermi level is 0.619 states/eV per atom. As for the crystal system: trigonal. Its mass density is 8116 kg/m³.

POSCAR file:
```
Pm8IrPt3I4
1.0
8.468 0.000 0.000
0.000 9.401 0.655
-4.234 -4.232 5.989
I Pm Pt Ir
4 8 3 1
Direct
0.000 0.000 0.500 I
0.000 0.000 0.000 I
0.500 0.000 0.500 I
0.500 0.000 0.000 I
0.775 0.314 0.040 Pm
0.271 0.314 0.543 Pm
0.225 0.686 0.451 Pm
0.265 0.314 0.040 Pm
0.735 0.686 0.960 Pm
0.775 0.314 0.549 Pm
0.729 0.686 0.457 Pm
0.225 0.686 0.960 Pm
0.000 0.500 0.500 Pt
0.500 0.500 0.500 Pt
0.500 0.500 0.000 Pt
0.000 0.500 0.000 Ir
```



Pa2SeF: optimized geometry, PBE.

Output
For the formation energy from raw total energies, the calculation gives -1.329 eV/atom. The space group is R-3m (166). Its density of states at the Fermi level is 1.579 states/eV per atom. As for the crystal system: trigonal. Its mass density is 11591 kg/m³.

POSCAR file:
```
Pa2SeF
1.0
3.621 0.000 0.000
1.810 3.135 0.000
1.810 1.045 7.068
Pa F Se
2 1 1
Direct
0.261 0.261 0.217 Pa
0.739 0.739 0.783 Pa
0.000 0.000 0.000 F
0.500 0.500 0.500 Se
```